Here is a geometry-optimized Tb3Dy2Tm6 structure from the Alexandria database. Energies are from PBE-GGA.

Values from the calculation:
Energy of formation in eV/atom: 0.02
Relative energy among the computed polymorphs in meV per atom: 0

Lattice parameters (Å, degrees): 3.5144 3.5144 31.4702 86.80 86.80 60.00
Fractional positions:
Tb 0.0000 0.0000 0.0000
Tb 0.2726 0.2726 0.1823
Tb 0.7274 0.7274 0.8177
Tm 0.6363 0.6363 0.0911
Tm 0.9089 0.9089 0.2734
Tm 0.0911 0.0911 0.7266
Tm 0.8184 0.8184 0.5449
Tm 0.3637 0.3637 0.9089
Tm 0.1816 0.1816 0.4551
Dy 0.4547 0.4547 0.6358
Dy 0.5453 0.5453 0.3642

=====

Here is a geometry-optimized Tb4Dy5Tm structure from the Alexandria database. Energies are from PBE-GGA.

Values from the calculation:
Energy of formation in eV/atom: 0.02
Relative energy among the computed polymorphs in meV per atom: 0

Lattice parameters (Å, degrees): 3.5298 7.0652 12.7862 97.95 97.93 90.00
Fractional positions:
Tb 0.3003 0.9002 0.6005
Tb 0.0994 0.2994 0.1988
Tb 0.6997 0.0998 0.3995
Tb 0.9006 0.7006 0.8012
Dy 0.3003 0.4001 0.6005
Dy 0.9006 0.2000 0.8012
Dy 0.5000 0.5000 0.0000
Dy 0.6997 0.5999 0.3995
Dy 0.0994 0.8000 0.1988
Tm 0.5000 0.0000 0.0000

=====

Here is a geometry-optimized Tb3Dy8Tm structure from the Alexandria database. Energies are from PBE-GGA.

Values from the calculation:
Energy of formation in eV/atom: 0.73

Lattice parameters (Å, degrees): 7.6496 7.6496 9.3696 114.09 114.09 90.00
Fractional positions:
Dy 0.6261 0.1248 0.7509
Dy 0.8752 0.3739 0.2491
Dy 0.1248 0.1248 0.7509
Dy 0.1248 0.6261 0.7509
Dy 0.6261 0.6261 0.7509
Dy 0.8752 0.8752 0.2491
Dy 0.3739 0.3739 0.2491
Dy 0.3739 0.8752 0.2491
Tb 0.2500 0.7500 0.5000
Tb 0.7500 0.2500 0.5000
Tb 0.5000 0.5000 0.0000
Tm 0.0000 0.0000 0.0000

=====

Here is a geometry-optimized Tb3Dy2Tm structure from the Alexandria database. Energies are from PBE-GGA.

Values from the calculation:
Energy of formation in eV/atom: 0.00
Relative energy among the computed polymorphs in meV per atom: 0

Lattice parameters (Å, degrees): 7.1363 10.1191 7.1306 79.87 119.96 121.91
Fractional positions:
Tm 0.7497 0.9998 0.7498
Tm 0.2503 0.0002 0.2502
Dy 0.6942 0.3322 0.6390
Dy 0.3058 0.6678 0.3610
Dy 0.6952 0.3336 0.1392
Dy 0.3048 0.6664 0.8608
Tb 0.1940 0.3326 0.1389
Tb 0.8060 0.6674 0.8611
Tb 0.2503 0.0002 0.7501
Tb 0.7497 0.9998 0.2499
Tb 0.1952 0.3340 0.6391
Tb 0.8048 0.6660 0.3609

=====

Here is a geometry-optimized Tb2Dy2Tm structure from the Alexandria database. Energies are from PBE-GGA.

Values from the calculation:
Energy of formation in eV/atom: 0.10
Relative energy among the computed polymorphs in meV per atom: 0

Lattice parameters (Å, degrees): 9.2654 9.2654 3.6762 90.00 90.00 90.00
Fractional positions:
Dy 0.1272 0.6272 0.0000
Dy 0.6272 0.8728 0.0000
Dy 0.8728 0.3728 0.0000
Dy 0.3728 0.1272 0.0000
Tb 0.8280 0.6720 0.5000
Tb 0.1720 0.3280 0.5000
Tb 0.6720 0.1720 0.5000
Tb 0.3280 0.8280 0.5000
Tm 0.5000 0.5000 0.0000
Tm 0.0000 0.0000 0.0000

=====

Here is a geometry-optimized TbDy12Tm6 structure from the Alexandria database. Energies are from PBE-GGA.

Values from the calculation:
Energy of formation in eV/atom: 0.45
Relative energy among the computed polymorphs in meV per atom: 289

Lattice parameters (Å, degrees): 9.2354 9.2354 9.2354 107.81 107.81 107.81
Fractional positions:
Dy 0.6378 0.6378 0.8567
Dy 0.3622 0.3622 0.1433
Dy 0.8890 0.1110 0.5000
Dy 0.1433 0.3622 0.3622
Dy 0.5000 0.8890 0.1110
Dy 0.3622 0.1433 0.3622
Dy 0.1110 0.5000 0.8890
Dy 0.5000 0.1110 0.8890
Dy 0.8567 0.6378 0.6378
Dy 0.8890 0.5000 0.1110
Dy 0.1110 0.8890 0.5000
Dy 0.6378 0.8567 0.6378
Tm 0.3142 0.3142 0.7322
Tm 0.6858 0.2678 0.6858
Tm 0.3142 0.7322 0.3142
Tm 0.7322 0.3142 0.3142
Tm 0.6858 0.6858 0.2678
Tm 0.2678 0.6858 0.6858
Tb 0.0000 0.0000 0.0000

=====

Here is a geometry-optimized Tb12DyTm5 structure from the Alexandria database. Energies are from PBE-GGA.

Values from the calculation:
Energy of formation in eV/atom: 0.02

Lattice parameters (Å, degrees): 14.9649 10.5892 4.9970 90.00 90.00 45.11
Fractional positions:
Tm 0.5000 0.0000 0.5000
Tm 0.8330 0.3341 0.5000
Tm 0.3334 0.3332 0.0000
Tm 0.1670 0.6659 0.5000
Tm 0.6666 0.6668 0.0000
Tb 0.8323 0.6669 0.5000
Tb 0.3343 0.0000 0.0000
Tb 0.6669 0.3339 0.0000
Tb 0.0008 0.6662 0.0000
Tb 0.1677 0.3331 0.5000
Tb 0.9992 0.3338 0.0000
Tb 0.8337 0.0000 0.5000
Tb 0.3331 0.6661 0.0000
Tb 0.5008 0.6669 0.5000
Tb 0.4992 0.3331 0.5000
Tb 0.6657 0.0000 0.0000
Tb 0.1663 0.0000 0.5000
Dy 0.0000 0.0000 0.0000

=====

Here is a geometry-optimized Tb2Dy7Tm4 structure from the Alexandria database. Energies are from PBE-GGA.

Values from the calculation:
Energy of formation in eV/atom: 0.19

Lattice parameters (Å, degrees): 6.0224 6.0224 13.1062 90.00 90.00 120.00
Fractional positions:
Dy 0.6419 0.0000 0.7818
Dy 0.3581 0.3581 0.7818
Dy 0.0000 0.6419 0.7818
Dy 0.0000 0.3581 0.2182
Dy 0.3581 0.0000 0.2182
Dy 0.6419 0.6419 0.2182
Dy 0.0000 0.0000 0.0000
Tm 0.6667 0.3333 0.5000
Tm 0.0000 0.0000 0.3941
Tm 0.0000 0.0000 0.6059
Tm 0.3333 0.6667 0.5000
Tb 0.3333 0.6667 0.0000
Tb 0.6667 0.3333 0.0000

=====

> Among the records above, which one has the lowest energy of formation?

Tb3Dy2Tm

=====

> The lowest energy of formation belongs to which entry?

Tb3Dy2Tm

=====

> The highest energy of formation belongs to which entry?

Tb3Dy8Tm